Computed, not measured: a relaxed TmCr2F8 crystal at the GGA+U level of DFT.

The structure in POSCAR format:
```
TmCr2F8
1.0
5.197 -0.651 -0.557
-0.280 5.469 0.200
-0.280 1.045 5.372
F Cr Tm
8 2 1
direct
0.261 0.437 0.437 F
0.739 0.563 0.563 F
0.699 0.045 0.667 F
0.790 0.181 0.181 F
0.699 0.667 0.045 F
0.210 0.819 0.819 F
0.301 0.955 0.333 F
0.301 0.333 0.955 F
0.468 0.685 0.685 Cr
0.532 0.315 0.315 Cr
0.000 0.000 0.000 Tm
```

Results
- Distance to the lowest polymorph of the same formula: 75.0 meV/atom
- D(E_F): 0.2643 states/eV/atom
- Energy: -6.19 eV per atom